VASP calculation (GGA-PBE) on a geometry-optimized NaPrUS4 structure.

The structure in extended XYZ format:
```
14
Lattice="-4.092 4.194 5.884 4.092 -4.194 5.884 4.092 4.194 -5.884" Properties=species:S:1:pos:R:3 pbc="T T T"
Na 0.000 2.097 1.462
Na 4.092 2.097 4.422
Pr 4.092 0.000 0.000
Pr 0.000 0.000 5.884
U 2.046 2.097 -2.942
U 2.046 -2.097 2.942
S 4.092 -0.290 2.865
S 4.092 3.904 -2.865
S 2.167 2.097 -0.260
S 6.017 2.097 -0.260
S -1.925 2.097 6.144
S 1.925 2.097 6.144
S 0.000 0.290 8.749
S 0.000 4.484 3.019
```

## Properties
The calculation puts the total energy at -90.0 eV for the cell shown. As for the space group: Imma. The total moment comes out at 2.00 μB/f.u.